The following is a DFT calculation (GGA-PBE) of a relaxed structure of ZrAgOs.

Geometry as CIF:
```
data_ZrAgOs
_chemical_formula_sum 'Zr4 Ag4 Os4'
_cell_length_a 6.341
_cell_length_b 6.341
_cell_length_c 6.341
_cell_angle_alpha 90.00
_cell_angle_beta 90.00
_cell_angle_gamma 90.00
_space_group_name_H-M_alt 'F -4 3 m'
_space_group_IT_number 216
_space_group_name_Hall 'F -4 2 3'
loop_
_atom_site_label
_atom_site_fract_x
_atom_site_fract_y
_atom_site_fract_z
Zr1 0.000 0.000 0.000
Ag1 0.000 0.000 0.500
Os1 0.250 0.250 0.250
```

Values from the calculation:
Its total energy is -7.02 eV/atom.